Computed, not measured: an optimized crystal structure of LiTmCoF6 at the PBE with a Hubbard U level of DFT.

a = 4.8941 Å, b = 4.8941 Å, c = 9.7119 Å
α = 90.00°, β = 90.00°, γ = 90.00°
With the nearest neighbours (Å) after each atom.
Fractional coordinates of all 18 atoms:
Li1 0.0000 0.0000 0.0036  6 F 2.07-2.17
Li2 0.5000 0.5000 0.5036  6 F 2.07-2.17
F1 0.8016 0.1984 0.4955  1 Li 2.09, 1 Co 2.09, 1 Tm 2.16
F2 0.1984 0.8016 0.4955  1 Li 2.09, 1 Co 2.09, 1 Tm 2.16
F3 0.8102 0.1898 0.1685  1 Co 2.07, 1 Li 2.07, 1 Tm 2.15
F4 0.3102 0.3102 0.6685  1 Co 2.07, 1 Li 2.07, 1 Tm 2.15
F5 0.6984 0.6984 0.9955  1 Li 2.09, 1 Co 2.09, 1 Tm 2.16
F6 0.7043 0.7043 0.3342  1 Co 2.05, 1 Tm 2.15, 1 Li 2.17
F7 0.2957 0.2957 0.3342  1 Co 2.05, 1 Tm 2.15, 1 Li 2.17
F8 0.6898 0.6898 0.6685  1 Co 2.07, 1 Li 2.07, 1 Tm 2.15
F9 0.1898 0.8102 0.1685  1 Co 2.07, 1 Li 2.07, 1 Tm 2.15
F10 0.7957 0.2043 0.8342  1 Co 2.05, 1 Tm 2.15, 1 Li 2.17
F11 0.2043 0.7957 0.8342  1 Co 2.05, 1 Tm 2.15, 1 Li 2.17
F12 0.3016 0.3016 0.9955  1 Li 2.09, 1 Co 2.09, 1 Tm 2.16
Tm1 0.5000 0.5000 0.1668  6 F 2.15-2.16
Tm2 0.0000 0.0000 0.6668  6 F 2.15-2.16
Co1 0.0000 0.0000 0.3333  6 F 2.05-2.09
Co2 0.5000 0.5000 0.8333  6 F 2.05-2.09

Results
- total moment (μB per formula unit) = 3.00
- raw total energy (hartree per atom) = -0.2103
- Fermi-level density of states (states/eV/cell) = 0.00